A plane-wave DFT calculation with GGA-PBEsol was carried out for a relaxed Sr2ScAs crystal.

Cell: 4.1540 4.1540 6.6322 Å, 90.00 90.00 90.00°
Sites, in units of the cell vectors:
Sr (0.0000, 0.0000, 0.2243)
Sr (0.0000, 0.0000, 0.7757)
Sc (0.5000, 0.5000, 0.5000)
As (0.5000, 0.5000, 0.0000)

- electronic total energy (eV per formula unit) = -16.664
- ΔH_f (0 K) (eV/atom) = -0.32